This record from Alexandria describes an optimized crystal structure of HoTmSi. The functional is PBE-GGA.

Properties
ΔE to the lowest computed polymorph in eV per atom: 0.088
Formation energy without anion corrections in eV/atom: -0.46
DOS(E_F) in states/eV/atom: 0.90

Cell lengths 6.776, 6.776, 6.776 Å; angles 90.00, 90.00, 90.00 degrees
Space group F-43m (No. 216)
Asymmetric unit:
1 Ho 0.000 0.000 0.000
2 Tm 0.000 0.000 0.500
3 Si 0.250 0.250 0.750